(1)
{"formula": "Pm3Cu3Ni2", "functional": "PBE", "state": "relaxed", "cell": [[7.414, 0.000, 0.000], [0.000, 15.542, 0.000], [0.000, 0.000, 5.385]], "species": ["Pm", "Pm", "Pm", "Pm", "Pm", "Pm", "Pm", "Pm", "Pm", "Pm", "Pm", "Pm", "Cu", "Cu", "Cu", "Cu", "Cu", "Cu", "Cu", "Cu", "Cu", "Cu", "Cu", "Cu", "Ni", "Ni", "Ni", "Ni", "Ni", "Ni", "Ni", "Ni"], "frac_coords": [[0.035, 0.104, 0.124], [0.035, 0.396, 0.124], [0.171, 0.250, 0.632], [0.329, 0.750, 0.132], [0.465, 0.604, 0.624], [0.465, 0.896, 0.624], [0.535, 0.104, 0.376], [0.535, 0.396, 0.376], [0.671, 0.250, 0.868], [0.829, 0.750, 0.368], [0.965, 0.604, 0.876], [0.965, 0.896, 0.876], [0.172, 0.032, 0.599], [0.172, 0.468, 0.599], [0.179, 0.750, 0.622], [0.321, 0.250, 0.122], [0.328, 0.532, 0.099], [0.328, 0.968, 0.099], [0.672, 0.032, 0.901], [0.672, 0.468, 0.901], [0.679, 0.750, 0.878], [0.821, 0.250, 0.378], [0.828, 0.532, 0.401], [0.828, 0.968, 0.401], [0.119, 0.611, 0.374], [0.119, 0.889, 0.374], [0.381, 0.111, 0.874], [0.381, 0.389, 0.874], [0.619, 0.611, 0.126], [0.619, 0.889, 0.126], [0.881, 0.111, 0.626], [0.881, 0.389, 0.626]], "polymorph_energy_ev_per_fu": 0.09, "e_tot_ev_per_atom": -5.022, "formation_energy_kj_per_mol_atoms": -25.01}


(2)
{"formula": "Pd2N2F", "functional": "PBE", "state": "relaxed", "cell": [[-2.031, 2.031, 3.506], [2.031, -2.031, 3.506], [2.031, 2.031, -3.506]], "species": ["Pd", "Pd", "N", "N", "F"], "frac_coords": [[0.250, 0.750, 0.500], [0.750, 0.250, 0.500], [0.085, 0.085, 0.000], [0.915, 0.915, 0.000], [0.500, 0.500, 0.000]], "polymorph_energy_ev_per_fu": 0.00, "e_tot_ev_per_atom": -5.617, "e_form_raw_kj_per_mol_atoms": 15.9}


(3)
{"formula": "NdGdHg2", "functional": "PBE", "state": "relaxed", "cell": [[3.784, 0.000, 0.000], [0.000, 3.784, 0.000], [0.000, 0.000, 7.626]], "species": ["Nd", "Gd", "Hg", "Hg"], "frac_coords": [[0.000, 0.000, 0.000], [0.000, 0.000, 0.500], [0.500, 0.500, 0.260], [0.500, 0.500, 0.740]], "polymorph_energy_ev_per_fu": 0.01, "e_tot_ev_per_atom": -5.353, "formation_energy_kj_per_mol_atoms": -47.29}